[1]
Entry from the Alexandria database: an optimized crystal structure of Pm3Ho8Tm3 (PBE).

E_form   0.11 eV/atom
Energy relative to the lowest polymorph listed for this composition   0.000 eV per atom

```
Pm3Ho8Tm3
1.0
-5.542 0.130 -0.848
-2.627 -8.827 -2.714
-4.140 0.692 8.635
Pm Ho Tm
3 8 3
Direct
0.500 0.000 0.000 Pm
0.000 0.818 0.182 Pm
0.000 0.182 0.818 Pm
0.660 0.119 0.561 Ho
0.340 0.881 0.439 Ho
0.660 0.561 0.119 Ho
0.340 0.439 0.881 Ho
0.842 0.760 0.555 Ho
0.158 0.240 0.445 Ho
0.842 0.555 0.760 Ho
0.158 0.445 0.240 Ho
0.500 0.500 0.500 Tm
0.795 0.205 0.205 Tm
0.205 0.795 0.795 Tm
```

=====

[2]
Entry from the Alexandria database: an optimized crystal structure of Pm7Ho3Tm (PBE).

E_form   0.24 eV/atom
Energy relative to the lowest polymorph listed for this composition   0.117 eV per atom

```
Pm7Ho3Tm
1.0
-2.637 5.055 1.390
-3.483 -3.290 -7.047
-3.984 -6.525 3.763
Pm Ho Tm
7 3 1
Direct
0.211 0.210 0.210 Pm
0.308 0.018 0.597 Pm
0.692 0.403 0.982 Pm
0.308 0.597 0.018 Pm
0.000 0.500 0.500 Pm
0.692 0.982 0.403 Pm
0.789 0.790 0.790 Pm
0.000 0.795 0.205 Ho
0.500 0.000 0.000 Ho
0.000 0.205 0.795 Ho
0.500 0.500 0.500 Tm
```

=====

[3]
Entry from the Alexandria database: an optimized crystal structure of PmHo8Tm4 (PBE).

E_form   0.21 eV/atom

```
PmHo8Tm4
1.0
6.355 0.000 -3.428
-4.102 5.942 0.000
1.185 0.819 9.800
Pm Ho Tm
1 8 4
Direct
0.000 0.500 0.500 Pm
0.564 0.782 0.346 Ho
0.436 0.218 0.654 Ho
0.499 0.249 0.302 Ho
0.947 0.196 0.698 Ho
0.501 0.751 0.698 Ho
0.947 0.751 0.698 Ho
0.053 0.249 0.302 Ho
0.053 0.804 0.302 Ho
0.000 0.000 0.000 Tm
0.000 0.500 0.000 Tm
0.500 0.500 0.000 Tm
0.500 0.000 0.000 Tm
```

=====

[4]
Entry from the Alexandria database: an optimized crystal structure of Pm3Ho4Tm (PBE).

E_form   0.02 eV/atom
Energy relative to the lowest polymorph listed for this composition   0.017 eV per atom

```
Pm3Ho4Tm
1.0
3.496 -0.008 0.714
-0.397 5.827 1.972
-0.796 1.095 12.806
Tm Ho Pm
1 4 3
Direct
0.000 0.000 0.000 Tm
0.874 0.124 0.252 Ho
0.126 0.876 0.748 Ho
0.750 0.250 0.500 Ho
0.250 0.750 0.500 Ho
0.375 0.626 0.250 Pm
0.625 0.374 0.750 Pm
0.500 0.500 0.000 Pm
```

=====

[5]
Entry from the Alexandria database: an optimized crystal structure of PmHo5Tm5 (PBE).

E_form   0.29 eV/atom
Energy relative to the lowest polymorph listed for this composition   0.142 eV per atom

```
PmHo5Tm5
1.0
-4.972 3.051 0.180
0.298 -5.568 8.023
3.585 5.779 1.071
Pm Ho Tm
1 5 5
Direct
0.000 0.000 0.000 Pm
0.821 0.641 0.065 Ho
0.820 0.640 0.573 Ho
0.500 0.000 0.000 Ho
0.180 0.360 0.427 Ho
0.179 0.359 0.935 Ho
0.669 0.339 0.175 Tm
0.625 0.250 0.632 Tm
0.000 0.000 0.500 Tm
0.375 0.750 0.368 Tm
0.331 0.661 0.825 Tm
```

=====

[6]
Entry from the Alexandria database: an optimized crystal structure of Pm12HoTm5 (PBE).

E_form   0.10 eV/atom

```
Pm12HoTm5
1.0
-3.807 9.865 -3.675
0.167 2.607 -10.226
-5.413 -2.343 -0.687
Pm Ho Tm
12 1 5
Direct
0.837 0.000 0.499 Pm
0.163 0.000 0.501 Pm
0.663 0.000 0.999 Pm
0.337 0.000 0.001 Pm
0.328 0.663 0.999 Pm
0.009 0.663 0.001 Pm
0.991 0.337 0.999 Pm
0.672 0.337 0.001 Pm
0.492 0.336 0.501 Pm
0.828 0.664 0.501 Pm
0.172 0.336 0.499 Pm
0.508 0.664 0.499 Pm
0.000 0.000 0.000 Ho
0.500 0.000 0.500 Tm
0.165 0.670 0.500 Tm
0.835 0.330 0.500 Tm
0.665 0.671 0.000 Tm
0.335 0.329 0.000 Tm
```

=====

[7]
Entry from the Alexandria database: an optimized crystal structure of Pm5Ho4Tm4 (PBE).

E_form   0.02 eV/atom

```
Pm5Ho4Tm4
1.0
-4.802 0.243 -1.476
-3.839 -8.216 2.567
-4.687 3.699 7.292
Pm Ho Tm
5 4 4
Direct
0.695 0.844 0.767 Pm
0.305 0.156 0.233 Pm
0.000 0.000 0.000 Pm
0.539 0.767 0.156 Pm
0.461 0.233 0.844 Pm
0.767 0.388 0.078 Ho
0.233 0.612 0.922 Ho
0.845 0.922 0.388 Ho
0.155 0.078 0.612 Ho
0.924 0.462 0.689 Tm
0.614 0.311 0.462 Tm
0.076 0.538 0.311 Tm
0.386 0.689 0.538 Tm
```

=====

[8]
Entry from the Alexandria database: an optimized crystal structure of PmHo4Tm7 (PBE).

E_form   0.08 eV/atom
Energy relative to the lowest polymorph listed for this composition   0.000 eV per atom

```
PmHo4Tm7
1.0
-2.614 4.100 4.904
2.292 -2.667 5.669
4.261 8.972 6.753
Pm Ho Tm
1 4 7
Direct
0.000 0.000 0.000 Pm
0.451 0.654 0.317 Ho
0.549 0.346 0.683 Ho
0.729 0.812 0.665 Ho
0.271 0.188 0.335 Ho
0.775 0.520 0.974 Tm
0.225 0.480 0.026 Tm
0.067 0.323 0.670 Tm
0.933 0.677 0.330 Tm
0.261 0.820 0.631 Tm
0.500 0.000 0.000 Tm
0.739 0.180 0.369 Tm
```

=====

| no. | calculated density (g/cm3) |
| --- | --- |
| 1 | 8.364 |
| 2 | 7.425 |
| 3 | 8.760 |
| 4 | 8.188 |
| 5 | 8.588 |
| 6 | 7.676 |
| 7 | 8.245 |
| 8 | 8.866 |